Compound: BaBe2MoF
Source: the Alexandria database
Functional: GGA+U
Structure: relaxed

Results
- calculated volume (Å³/atom) = 20.85
- crystal system = tetragonal
- magnetic moment (μB per formula unit) = 3.2
- E (eV/f.u.) = -16.09

```
data_BaBe2MoF
_chemical_formula_sum 'Ba1 Be2 Mo1 F1'
_space_group_name_H-M_alt 'P 4/m m m'
_space_group_IT_number 123
_space_group_name_Hall '-P 4 2'
_cell_length_a 4.5688
_cell_length_b 4.5688
_cell_length_c 4.9943
_cell_angle_alpha 90.00
_cell_angle_beta 90.00
_cell_angle_gamma 90.00
loop_
_atom_site_label
_atom_site_type_symbol
_atom_site_fract_x
_atom_site_fract_y
_atom_site_fract_z
Ba1 Ba 0.0000 0.0000 0.0000
Be1 Be 0.0000 0.5000 0.5000
Mo1 Mo 0.5000 0.5000 0.0000
F1 F 0.0000 0.0000 0.5000
```